(1)
# Zr2BeSbF

A relaxed structure of Zr2BeSbF (PBE, the Alexandria database).

abc: 4.3323 5.1801 4.3323
angles: 90.00 90.00 90.00
Positions (direct):
Sb 0.0000 0.5000 0.0000
Be 0.5000 0.5000 0.5000
Zr 0.0000 0.0000 0.5000
Zr 0.5000 0.0000 0.0000
F 0.0000 0.0000 0.0000

Raw formation energy in eV per atom: -0.301



(2)
# La2TaCo

A relaxed structure of La2TaCo (PBE, the Alexandria database).

abc: 8.0320 8.0320 6.4036
angles: 51.16 51.16 90.00
Positions (direct):
La 0.5713 0.1250 0.2500
La 0.1787 0.6250 0.2500
La 0.3750 0.4287 0.7500
La 0.8750 0.8213 0.7500
Co 0.5000 0.5000 0.0000
Co 0.2500 0.7500 0.5000
Ta 0.0000 0.0000 0.0000
Ta 0.7500 0.2500 0.5000

Formation energy from the elements in kJ/mol of atoms: 61
Relative energy among the computed polymorphs in eV/atom: 0.531



(3)
# CsCaMg2Zn

A relaxed structure of CsCaMg2Zn (PBE, the Alexandria database).

abc: 6.3962 6.0382 6.3962
angles: 90.00 90.00 90.00
Positions (direct):
Cs 0.0000 0.0000 0.0000
Zn 0.0000 0.5000 0.0000
Mg 0.0000 0.0000 0.5000
Mg 0.5000 0.0000 0.0000
Ca 0.5000 0.5000 0.5000

Formation energy from the elements in kJ/mol of atoms: 84



(4)
# LuPuCdGe

A relaxed structure of LuPuCdGe (PBE, the Alexandria database).

abc: 5.1257 5.1257 5.1257
angles: 60.00 60.00 60.00
Positions (direct):
Cd 0.7500 0.7500 0.7500
Ge 0.2500 0.2500 0.2500
Lu 0.5000 0.5000 0.5000
Pu 0.0000 0.0000 0.0000

Formation energy from the elements in kJ/mol of atoms: -28



(5)
# Li5CdCu

A relaxed structure of Li5CdCu (PBE, the Alexandria database).

abc: 4.1227 4.1227 7.5166
angles: 90.00 90.00 90.00
Positions (direct):
Li 0.5000 0.0000 0.2552
Li 0.0000 0.5000 0.2552
Li 0.0000 0.0000 0.5000
Li 0.0000 0.5000 0.7448
Li 0.5000 0.0000 0.7448
Cd 0.0000 0.0000 0.0000
Cu 0.5000 0.5000 0.5000

Formation energy from the elements in kJ/mol of atoms: 0
Relative energy among the computed polymorphs in eV/atom: 0.042



(6)
# MgCu3As

A relaxed structure of MgCu3As (PBE, the Alexandria database).

abc: 4.5434 4.5434 4.5434
angles: 90.00 90.00 90.00
Positions (direct):
As 0.0000 0.0000 0.0000
Mg 0.5000 0.5000 0.5000
Cu 0.0000 0.5000 0.0000
Cu 0.0000 0.0000 0.5000
Cu 0.5000 0.0000 0.0000

Formation energy from the elements in kJ/mol of atoms: 32
Relative energy among the computed polymorphs in eV/atom: 0.000



(7)
# MnNi4Pd

A relaxed structure of MnNi4Pd (PBE, the Alexandria database).

abc: 2.5810 6.9527 8.1075
angles: 90.00 90.00 90.00
Positions (direct):
Mn 0.0000 0.1844 0.7500
Mn 0.0000 0.8156 0.2500
Ni 0.0000 0.0000 0.5000
Ni 0.0000 0.0000 0.0000
Ni 0.5000 0.8788 0.7500
Ni 0.5000 0.1212 0.2500
Ni 0.5000 0.6828 0.0126
Ni 0.5000 0.3172 0.9874
Ni 0.5000 0.6828 0.4874
Ni 0.5000 0.3172 0.5126
Pd 0.0000 0.5423 0.7500
Pd 0.0000 0.4577 0.2500

Formation energy from the elements in kJ/mol of atoms: 4
Relative energy among the computed polymorphs in eV/atom: 0.062



(8)
# KZnHg2

A relaxed structure of KZnHg2 (PBE, the Alexandria database).

abc: 5.6400 5.6400 10.0059
angles: 73.63 73.63 90.00
Positions (direct):
K 0.5000 0.5000 0.0000
K 0.2500 0.7500 0.5000
Zn 0.0000 0.0000 0.0000
Zn 0.7500 0.2500 0.5000
Hg 0.7873 0.1250 0.2500
Hg 0.9627 0.6250 0.2500
Hg 0.3750 0.2127 0.7500
Hg 0.8750 0.0373 0.7500

Formation energy from the elements in kJ/mol of atoms: -3



(9)
# MgNbTe2

A relaxed structure of MgNbTe2 (PBE, the Alexandria database).

abc: 10.0172 10.0172 10.0172
angles: 20.81 20.81 20.81
Positions (direct):
Nb 0.5000 0.5000 0.5000
Te 0.8971 0.8971 0.8971
Te 0.1029 0.1029 0.1029
Mg 0.0000 0.0000 0.0000

Raw formation energy in eV per atom: -0.238



(10)
# AgSb2Se

A relaxed structure of AgSb2Se (PBE, the Alexandria database).

abc: 5.1372 5.1372 5.1372
angles: 60.00 60.00 60.00
Positions (direct):
Ag 0.5000 0.5000 0.5000
Sb 0.0000 0.0000 0.0000
Sb 0.2500 0.2500 0.2500
Se 0.7500 0.7500 0.7500

Raw formation energy in eV per atom: 0.218



(11)
# K2GeI

A relaxed structure of K2GeI (PBE, the Alexandria database).

abc: 9.4296 9.4296 7.6223
angles: 51.79 51.79 90.00
Positions (direct):
I 0.0000 0.0000 0.0000
I 0.7500 0.2500 0.5000
Ge 0.5000 0.5000 0.0000
Ge 0.2500 0.7500 0.5000
K 0.6221 0.1250 0.2500
K 0.1279 0.6250 0.2500
K 0.3750 0.3779 0.7500
K 0.8750 0.8721 0.7500

Relative energy among the computed polymorphs in eV/atom: 0.102
Raw formation energy in eV per atom: -0.214



no.,uncorrected energy (eV for the cell shown),total magnetic moment (μB per cell)
1,-28.32,0.00
2,-52.53,0.00
3,-2.96,0.00
4,-25.54,6.34
5,-14.56,0.00
6,-16.87,0.00
7,-74.49,11.29
8,-6.18,0.00
9,-18.90,0.00
10,-13.71,0.00
11,-18.43,2.03